Entry 1:
The following is a DFT calculation (PBE) of crystalline SnSb2TeSe at its relaxed geometry.

Cell lengths 5.694, 5.694, 5.525 Å; angles 90.00, 90.00, 90.00 degrees
Fractional coordinates of all 5 atoms:
Sn1 0.000 0.000 0.000
Sb1 0.000 0.500 0.000
Sb2 0.500 0.000 0.000
Te1 0.000 0.000 0.500
Se1 0.500 0.500 0.500

Computed properties:
formation energy without anion corrections	0.860	eV/atom
distance to the lowest polymorph of the same formula	367.6	meV/atom
SG	No. 123
D(E_F)	1.3260	states/eV per atom


Entry 2:
The following is a DFT calculation (PBE) of crystalline Ni2POs at its relaxed geometry.

Cell lengths 2.649, 2.649, 8.070 Å; angles 90.00, 90.00, 118.53 degrees
Fractional coordinates of all 4 atoms:
Ni1 0.000 0.000 0.222
Ni2 0.000 0.000 0.778
P1 0.500 0.500 0.000
Os1 0.500 0.500 0.500

Computed properties:
distance to the lowest polymorph of the same formula	313.7	meV/atom
SG	No. 65
D(E_F)	1.0065	states/eV per atom
E_form	0.87	eV/f.u.


Entry 3:
The following is a DFT calculation (PBE) of crystalline KSc2CrOs at its relaxed geometry.

Cell lengths 4.692, 4.692, 4.558 Å; angles 90.00, 90.00, 90.00 degrees
Fractional coordinates of all 5 atoms:
K1 0.000 0.000 0.000
Sc1 0.000 0.500 0.000
Sc2 0.500 0.000 0.000
Cr1 0.500 0.500 0.500
Os1 0.000 0.000 0.500

Computed properties:
SG	No. 123
D(E_F)	1.2801	states/eV per atom
E_form	11.94	eV/f.u.


Entry 4:
The following is a DFT calculation (PBE) of crystalline Cs2KSnCl6 at its relaxed geometry.

Cell lengths 14.436, 14.436, 14.436 Å; angles 32.10, 32.10, 32.10 degrees
Fractional coordinates of all 20 atoms:
Cs1 0.141 0.141 0.141
Cs2 0.271 0.271 0.271
Cs3 0.729 0.729 0.729
Cs4 0.859 0.859 0.859
K1 0.410 0.410 0.410
K2 0.590 0.590 0.590
Sn1 0.000 0.000 0.000
Sn2 0.500 0.500 0.500
Cl1 0.125 0.625 0.625
Cl2 0.181 0.181 0.743
Cl3 0.181 0.743 0.181
Cl4 0.257 0.819 0.819
Cl5 0.375 0.375 0.875
Cl6 0.375 0.875 0.375
Cl7 0.625 0.125 0.625
Cl8 0.625 0.625 0.125
Cl9 0.743 0.181 0.181
Cl10 0.819 0.257 0.819
Cl11 0.819 0.819 0.257
Cl12 0.875 0.375 0.375

Computed properties:
formation energy without anion corrections	-1.588	eV/atom
SG	No. 166


Entry 5:
The following is a DFT calculation (PBE) of crystalline LaTcNiAs2 at its relaxed geometry.

Cell lengths 5.448, 5.448, 4.574 Å; angles 90.00, 90.00, 90.00 degrees
Fractional coordinates of all 5 atoms:
La1 0.000 0.000 0.000
Tc1 0.500 0.500 0.500
Ni1 0.000 0.000 0.500
As1 0.000 0.500 0.000
As2 0.500 0.000 0.000

Computed properties:
distance to the lowest polymorph of the same formula	2407.9	meV/atom
SG	No. 123
D(E_F)	1.6902	states/eV per atom
E_form	8.45	eV/f.u.


Entry 6:
The following is a DFT calculation (PBE) of crystalline Dy5Se5S2 at its relaxed geometry.

Cell lengths 6.919, 6.919, 11.942 Å; angles 104.68, 104.68, 33.17 degrees
Fractional coordinates of all 12 atoms:
Dy1 0.000 0.000 0.000
Dy2 0.110 0.110 0.414
Dy3 0.310 0.310 0.192
Dy4 0.690 0.690 0.808
Dy5 0.890 0.890 0.586
Se1 0.256 0.256 0.648
Se2 0.338 0.338 0.948
Se3 0.500 0.500 0.500
Se4 0.662 0.662 0.052
Se5 0.744 0.744 0.352
S1 0.041 0.041 0.789
S2 0.959 0.959 0.211

Computed properties:
formation energy without anion corrections	-1.928	eV/atom
SG	No. 12
D(E_F)	0.1400	states/eV per atom


Entry 7:
The following is a DFT calculation (PBE) of crystalline Dy4ThCd at its relaxed geometry.

Cell lengths 3.579, 3.579, 14.073 Å; angles 90.00, 90.00, 90.00 degrees
Fractional coordinates of all 6 atoms:
Dy1 0.000 0.000 0.146
Dy2 0.000 0.000 0.854
Dy3 0.500 0.500 0.327
Dy4 0.500 0.500 0.673
Th1 0.000 0.000 0.500
Cd1 0.500 0.500 0.000

Computed properties:
distance to the lowest polymorph of the same formula	0.0	meV/atom
SG	No. 123
D(E_F)	1.2783	states/eV per atom
E_form	-0.49	eV/f.u.


Entry 8:
The following is a DFT calculation (PBE) of crystalline LiMn4Se at its relaxed geometry.

Cell lengths 4.796, 4.796, 4.796 Å; angles 60.00, 60.00, 60.00 degrees
Fractional coordinates of all 6 atoms:
Li1 0.000 0.000 0.000
Mn1 0.122 0.626 0.626
Mn2 0.626 0.122 0.626
Mn3 0.626 0.626 0.122
Mn4 0.626 0.626 0.626
Se1 0.250 0.250 0.250

Computed properties:
formation energy without anion corrections	0.461	eV/atom
SG	No. 216
D(E_F)	1.3536	states/eV per atom


Entry 9:
The following is a DFT calculation (PBE) of crystalline CsNa2Sb2 at its relaxed geometry.

Cell lengths 7.264, 7.264, 7.264 Å; angles 135.11, 135.11, 65.36 degrees
Fractional coordinates of all 5 atoms:
Cs1 0.000 0.000 0.000
Na1 0.250 0.750 0.500
Na2 0.750 0.250 0.500
Sb1 0.386 0.386 0.000
Sb2 0.614 0.614 0.000

Computed properties:
formation energy without anion corrections	-0.378	eV/atom
distance to the lowest polymorph of the same formula	0.0	meV/atom
SG	No. 139
D(E_F)	0.9519	states/eV per atom


Entry 10:
The following is a DFT calculation (PBE) of crystalline CoSi2P at its relaxed geometry.

Cell lengths 2.630, 2.806, 6.765 Å; angles 90.00, 90.00, 90.00 degrees
Fractional coordinates of all 4 atoms:
Co1 0.000 0.000 0.000
Si1 0.500 0.500 0.217
Si2 0.500 0.500 0.783
P1 0.000 0.000 0.500

Computed properties:
formation energy without anion corrections	0.093	eV/atom
distance to the lowest polymorph of the same formula	227.8	meV/atom
SG	No. 47
D(E_F)	0.3765	states/eV per atom


Entry 11:
The following is a DFT calculation (PBE) of crystalline Pu2NiHg at its relaxed geometry.

Cell lengths 5.371, 5.371, 3.180 Å; angles 90.00, 90.00, 90.00 degrees
Fractional coordinates of all 4 atoms:
Pu1 0.000 0.500 0.000
Pu2 0.500 0.000 0.000
Ni1 0.000 0.000 0.500
Hg1 0.500 0.500 0.500

Computed properties:
distance to the lowest polymorph of the same formula	189.4	meV/atom
SG	No. 123
D(E_F)	4.7086	states/eV per atom
E_form	0.40	eV/f.u.


Entry 12:
The following is a DFT calculation (PBE) of crystalline K2SrTc at its relaxed geometry.

Cell lengths 8.333, 8.333, 8.333 Å; angles 154.86, 133.61, 53.48 degrees
Fractional coordinates of all 4 atoms:
K1 0.000 0.000 0.000
K2 0.683 0.183 0.500
Sr1 0.326 0.826 0.500
Tc1 0.488 0.488 0.000

Computed properties:
distance to the lowest polymorph of the same formula	165.3	meV/atom
SG	No. 44
D(E_F)	1.1095	states/eV per atom
E_form	4.12	eV/f.u.


Which uncorrected energy belongs to each record? In order, -2.91, -6.83, -4.53, -3.38, -4.39, -5.99, -4.54, -6.55, -2.73, -5.75, -8.59, -2.53 eV/atom.